Entry 1:
CaFe4O8 | PBE+U | optimized geometry

Values from the calculation:
- offset from the most stable computed form (meV per atom) = 0

Cell lengths 13.794, 3.058, 9.161 Å; angles 90.00, 131.52, 90.00 degrees
Space group Cm (No. 8)
Inequivalent atoms, fractional coordinates:
Ca: 0.000 0.000 0.000 [2 per cell]
Fe: 0.227 0.500 0.896 [2 per cell]
Fe: 0.228 0.000 0.550 [2 per cell]
Fe: 0.434 0.000 0.269 [2 per cell]
Fe: 0.436 0.500 0.598 [2 per cell]
O: 0.048 0.000 0.333 [2 per cell]
O: 0.120 0.000 0.853 [2 per cell]
O: 0.228 0.500 0.683 [2 per cell]
O: 0.242 0.500 0.426 [2 per cell]
O: 0.318 0.500 0.179 [2 per cell]
O: 0.380 0.000 0.016 [2 per cell]
O: 0.414 0.000 0.739 [2 per cell]
O: 0.463 0.000 0.498 [2 per cell]


Entry 2:
CaFeO2 | PBE+U | optimized geometry

Values from the calculation:
- DOS at the Fermi energy (states/eV/atom) = 1.124
- final energy (eV per cell) = -92.93

Cell lengths 5.630, 5.630, 5.630 Å; angles 90.00, 90.00, 90.00 degrees
Space group Fm-3m (No. 225)
Inequivalent atoms, fractional coordinates:
Ca: 0.000 0.000 0.000 [4 per cell]
Fe: 0.000 0.000 0.500 [4 per cell]
O: 0.250 0.250 0.250 [8 per cell]


Entry 3:
CaFeO2 | PBE+U | optimized geometry

Values from the calculation:
- DOS at the Fermi energy (states/eV/atom) = 0.000
- final energy (eV per cell) = -103.98

Cell lengths 6.933, 5.951, 6.785 Å; angles 90.00, 115.68, 90.00 degrees
Space group P2_1/c (No. 14)
Inequivalent atoms, fractional coordinates:
Ca: 0.137 0.172 0.398 [4 per cell]
Fe: 0.370 0.672 0.644 [4 per cell]
O: 0.103 0.704 0.939 [4 per cell]
O: 0.371 0.146 0.221 [4 per cell]


Number 1: M_tot 1.0769 μB/atom. Number 2: M_tot 1.0000 μB/atom. Number 3: M_tot 1.0000 μB/atom.